[1]
The following is a DFT calculation (GGA+U) of a geometry-optimized TmFe4Cu3O12 structure.

Calculated values
E: -6.2725 eV per atom

Cell: 7.443 7.443 7.443 Å, 90.00 90.00 90.00°
Space group Im-3 (No. 204)
Inequivalent atoms, fractional coordinates:
Tm 0.000 0.000 0.000 x2
Fe 0.250 0.250 0.250 x8
Cu 0.000 0.000 0.500 x6
O 0.000 0.164 0.306 x24

[2]
The following is a DFT calculation (GGA+U) of a geometry-optimized UFe2CuO6 structure.

Calculated values
E: -7.5309 eV per atom

Cell: 10.350 5.597 5.045 Å, 90.00 114.65 90.00°
Space group C2/m (No. 12)
Inequivalent atoms, fractional coordinates:
U 0.000 0.000 0.000 x2
Fe 0.246 0.000 0.636 x4
Cu 0.000 0.500 0.500 x2
O 0.098 0.263 0.358 x8
O 0.176 0.000 0.953 x4

[3]
The following is a DFT calculation (GGA+U) of a geometry-optimized UFeCu2O6 structure.

Calculated values
E: -6.9993 eV per atom

Cell: 5.178 5.199 5.643 Å, 64.39 62.99 61.01°
Space group P1 (No. 1)
Inequivalent atoms, fractional coordinates:
U 0.000 0.000 0.000 x1
Fe 0.498 0.488 0.519 x1
Cu 0.239 0.245 0.259 x1
Cu 0.806 0.782 0.615 x1
O 0.133 0.374 0.761 x1
O 0.227 0.859 0.307 x1
O 0.399 0.731 0.760 x1
O 0.610 0.257 0.263 x1
O 0.740 0.113 0.746 x1
O 0.864 0.613 0.298 x1